# 1
BaMo2P4O14 | meta-GGA SCAN | single point on PBEsol structure

a b c (Å): 7.592 7.592 9.895
angles (deg): 99.74 99.74 89.11
Atoms (fractional coordinates):
Ba 0.000 0.500 0.000
Ba 0.500 0.000 0.500
Mo 0.000 0.000 0.000
Mo 0.000 0.000 0.500
Mo 0.453 0.547 0.750
Mo 0.547 0.453 0.250
P 0.179 0.267 0.300
P 0.254 0.634 0.443
P 0.267 0.179 0.800
P 0.366 0.746 0.057
P 0.634 0.254 0.943
P 0.733 0.821 0.200
P 0.746 0.366 0.557
P 0.821 0.733 0.700
O 0.052 0.220 0.161
O 0.133 0.477 0.342
O 0.147 0.166 0.413
O 0.160 0.806 0.411
O 0.166 0.147 0.913
O 0.194 0.840 0.089
O 0.220 0.052 0.661
O 0.258 0.379 0.792
O 0.261 0.614 0.593
O 0.365 0.560 0.101
O 0.379 0.258 0.292
O 0.386 0.739 0.907
O 0.440 0.635 0.399
O 0.477 0.133 0.842
O 0.523 0.867 0.158
O 0.560 0.365 0.601
O 0.614 0.261 0.093
O 0.621 0.742 0.708
O 0.635 0.440 0.899
O 0.739 0.386 0.407
O 0.742 0.621 0.208
O 0.780 0.948 0.339
O 0.806 0.160 0.911
O 0.834 0.853 0.087
O 0.840 0.194 0.589
O 0.853 0.834 0.587
O 0.867 0.523 0.658
O 0.948 0.780 0.839

Calculated values
The formation energy (no corrections) is -2464 meV per atom. As for the total moment: 6.000 μB/f.u.

# 2
GaW3Br | meta-GGA SCAN | single point on PBEsol structure

a b c (Å): 4.547 4.547 4.547
angles (deg): 90.00 90.00 90.00
Atoms (fractional coordinates):
Ga 0.000 0.000 0.000
W 0.000 0.500 0.500
W 0.500 0.000 0.500
W 0.500 0.500 0.000
Br 0.500 0.500 0.500

Calculated values
The formation energy (no corrections) is 2421 meV per atom. As for the total moment: 0.000 μB/f.u.

# 3
EuIn3 | meta-GGA SCAN | single point on PBEsol structure

a b c (Å): 4.627 4.627 4.627
angles (deg): 90.00 90.00 90.00
Atoms (fractional coordinates):
Eu 0.000 0.000 0.000
In 0.000 0.500 0.500
In 0.500 0.000 0.500
In 0.500 0.500 0.000

Calculated values
For the raw total energy, the calculation gives -38.9492 eV/atom. As for the total moment: 7.172 μB/f.u.

# 4
Li4Cr3Co5O16 | meta-GGA SCAN | single point on PBEsol structure

a b c (Å): 5.565 5.565 9.065
angles (deg): 90.17 90.17 60.58
Atoms (fractional coordinates):
Li 0.000 0.000 0.000
Li 0.003 0.003 0.498
Li 0.341 0.341 0.604
Li 0.674 0.674 0.111
Cr 0.180 0.180 0.286
Cr 0.351 0.834 0.785
Cr 0.834 0.351 0.785
Co 0.175 0.661 0.284
Co 0.340 0.340 0.011
Co 0.661 0.175 0.284
Co 0.673 0.673 0.506
Co 0.830 0.830 0.783
O 0.002 0.002 0.691
O 0.003 0.003 0.191
O 0.051 0.482 0.150
O 0.176 0.176 0.891
O 0.177 0.669 0.893
O 0.342 0.342 0.397
O 0.342 0.842 0.391
O 0.482 0.051 0.150
O 0.484 0.484 0.157
O 0.528 0.963 0.650
O 0.529 0.529 0.651
O 0.669 0.177 0.893
O 0.671 0.671 0.902
O 0.839 0.839 0.394
O 0.842 0.342 0.391
O 0.963 0.528 0.650

Calculated values
The formation energy (no corrections) is -1872 meV per atom. As for the total moment: 4.983 μB/f.u.

# 5
SrY2Pb | meta-GGA SCAN | single point on PBEsol structure

a b c (Å): 4.963 4.963 4.883
angles (deg): 90.00 90.00 90.00
Atoms (fractional coordinates):
Sr 0.000 0.000 0.000
Y 0.000 0.500 0.500
Y 0.500 0.000 0.500
Pb 0.500 0.500 0.000

Calculated values
For the raw total energy, the calculation gives -38.7296 eV/atom. As for the total moment: 0.001 μB/f.u.

# 6
BaAg2O2 | meta-GGA SCAN | single point on PBEsol structure

a b c (Å): 6.780 6.780 6.780
angles (deg): 129.25 129.25 74.61
Atoms (fractional coordinates):
Ba 0.375 0.625 0.750
Ba 0.625 0.375 0.250
Ag 0.000 0.000 0.000
Ag 0.000 0.000 0.500
Ag 0.000 0.500 0.000
Ag 0.500 0.000 0.500
O 0.135 0.385 0.750
O 0.385 0.135 0.250
O 0.615 0.865 0.750
O 0.865 0.615 0.250

Calculated values
The formation energy (no corrections) is -1271 meV per atom. As for the total moment: 0.000 μB/f.u.